--- a ---
KBa2Au | PBEsol | optimized geometry

The space group is Amm2 (No. 38) and the conventional cell measures 4.603, 6.503 and 13.744 Å, with angles of 90.00, 90.00 and 90.00 degrees. Symmetry generates all atoms from K at (0.000, 0.000, 0.000), Ba at (0.000, 0.000, 0.679), Ba at (0.500, 0.000, 0.341) and Au at (0.500, 0.000, 0.833).

The density of states at the Fermi level comes out at 7.24 states/eV per cell.

--- b ---
KBa2Au | PBEsol | optimized geometry

The space group is C2/m (No. 12) and the conventional cell measures 8.132, 4.691 and 11.496 Å, with angles of 90.00, 103.45 and 90.00 degrees. Symmetry generates all atoms from K at (0.000, 0.000, 0.000), Ba at (0.218, 0.000, 0.654) and Au at (0.000, 0.500, 0.500).

The density of states at the Fermi level comes out at 7.24 states/eV per cell.

Most stable = b

--- a ---
K2BaAu | PBEsol | optimized geometry

The space group is Fm-3m (No. 225) and the conventional cell measures 8.404, 8.404 and 8.404 Å, with angles of 90.00, 90.00 and 90.00 degrees. Symmetry generates all atoms from K at (0.250, 0.250, 0.250), Ba at (0.000, 0.000, 0.000) and Au at (0.000, 0.000, 0.500).

The density of states at the Fermi level comes out at 17.88 states/eV per cell.

--- b ---
K2BaAu | PBEsol | optimized geometry

The space group is F-43m (No. 216) and the conventional cell measures 8.422, 8.422 and 8.422 Å, with angles of 90.00, 90.00 and 90.00 degrees. Symmetry generates all atoms from K at (0.000, 0.000, 0.000), K at (0.250, 0.250, 0.250), Ba at (0.000, 0.000, 0.500) and Au at (0.250, 0.250, 0.750).

The density of states at the Fermi level comes out at 13.19 states/eV per cell.

Most stable = b

--- a ---
BaLi2Au | PBEsol | optimized geometry

The space group is Pm (No. 6) and the conventional cell measures 4.097, 4.279 and 6.657 Å, with angles of 90.00, 107.23 and 90.00 degrees. Symmetry generates all atoms from Ba at (0.000, 0.000, 0.000), Li at (0.280, 0.000, 0.540), Li at (0.750, 0.500, 0.485) and Au at (0.387, 0.500, 0.766).

The density of states at the Fermi level comes out at 2.35 states/eV per cell.

--- b ---
BaLi2Au | PBEsol | optimized geometry

The space group is R3m (No. 160, hexagonal axes) and the conventional cell measures 4.6165, 4.6165 and 17.0006 Å, with angles of 90.00, 90.00 and 120.00 degrees. Symmetry generates all atoms from Ba at (0.0000, 0.0000, 0.0000), Li at (0.0000, 0.0000, 0.5136), Li at (0.0000, 0.0000, 0.8116) and Au at (0.0000, 0.0000, 0.1976).

The density of states at the Fermi level comes out at 5.96 states/eV per cell.

--- c ---
BaLi2Au | PBEsol | optimized geometry

The space group is R-3m (No. 166, hexagonal axes) and the conventional cell measures 4.5347, 4.5347 and 17.2152 Å, with angles of 90.00, 90.00 and 120.00 degrees. Symmetry generates all atoms from Ba at (0.0000, 0.0000, 0.0000), Li at (0.0000, 0.0000, 0.1936) and Au at (0.0000, 0.0000, 0.5000).

The density of states at the Fermi level comes out at 9.76 states/eV per cell.

--- d ---
BaLi2Au | PBEsol | optimized geometry

The space group is Fmmm (No. 69) and the conventional cell measures 6.234, 6.357 and 11.190 Å, with angles of 90.00, 90.00 and 90.00 degrees. Symmetry generates all atoms from Ba at (0.000, 0.000, 0.000), Li at (0.000, 0.250, 0.250) and Au at (0.000, 0.000, 0.500).

The density of states at the Fermi level comes out at 7.45 states/eV per cell.

Most stable = b

--- a ---
BaLi3Au | PBEsol | optimized geometry

The space group is Pm-3m (No. 221) and the conventional cell measures 5.063, 5.063 and 5.063 Å, with angles of 90.00, 90.00 and 90.00 degrees. Symmetry generates all atoms from Ba at (0.000, 0.000, 0.000), Li at (0.000, 0.500, 0.500) and Au at (0.500, 0.500, 0.500).

The density of states at the Fermi level comes out at 3.07 states/eV per cell.

--- b ---
BaLi3Au | PBEsol | optimized geometry

The space group is Pm-3m (No. 221) and the conventional cell measures 4.935, 4.935 and 4.935 Å, with angles of 90.00, 90.00 and 90.00 degrees. Symmetry generates all atoms from Ba at (0.000, 0.000, 0.000), Li at (0.000, 0.000, 0.500) and Au at (0.500, 0.500, 0.500).

The density of states at the Fermi level comes out at 2.27 states/eV per cell.

Most stable = a